No. 1
KCo2Re: relaxed, PBE-GGA.

- Uncorrected energy: -24.585 eV/cell
- Energy of formation: 3.2 eV per formula unit
- SG: P4mm
- Energy above the most stable polymorph in this dataset: 0.143 eV per atom
- V: 65 Å³ per cell
- Mass density: 8.764 Mg/m³

a b c (Å): 2.6632 2.6632 9.1679
angles (deg): 90.00 90.00 90.00
Last column: nearest neighbours and their distance in Å.
Element x y z (fractional)
K1 0.0000 0.0000 0.0000  4 K 2.66
Co1 0.0000 0.0000 0.5241  8 Co 2.43-2.66, 4 Re 2.62
Co2 0.5000 0.5000 0.6910  8 Co 2.43-2.66
Re1 0.5000 0.5000 0.3247  4 Co 2.62, 4 Re 2.66

No. 2
K2CoReSb: relaxed, PBE-GGA.

- Uncorrected energy: -18.651 eV/cell
- SG: P4/mmm
- V: 224 Å³ per cell
- Uncorrected formation energy: 1.44 eV per atom
- Mass density: 3.304 Mg/m³

a b c (Å): 6.6545 6.6545 5.0511
angles (deg): 90.00 90.00 90.00
Last column: nearest neighbours and their distance in Å.
Element x y z (fractional)
K1 0.0000 0.5000 0.0000  2 Re 3.33
K2 0.5000 0.0000 0.0000  2 Re 3.33
Co1 0.0000 0.0000 0.5000  8 K 4.18
Re1 0.5000 0.5000 0.0000  2 Sb 2.53
Sb1 0.5000 0.5000 0.5000  2 Re 2.53

No. 3
KCoRe2Se: relaxed, PBE-GGA.

- Uncorrected energy: -18.762 eV/cell
- SG: P4/mmm
- V: 93 Å³ per cell
- Uncorrected formation energy: 3.56 eV per atom
- Mass density: 9.860 Mg/m³

a b c (Å): 4.7338 4.7338 4.1290
angles (deg): 90.00 90.00 90.00
Last column: nearest neighbours and their distance in Å.
Element x y z (fractional)
K1 0.0000 0.0000 0.0000  2 Co 2.06
Co1 0.0000 0.0000 0.5000  2 K 2.06
Re1 0.0000 0.5000 0.0000  2 K 2.37
Re2 0.5000 0.0000 0.0000  2 K 2.37
Se1 0.5000 0.5000 0.5000  8 Re 3.14, 4 Co 3.35

No. 4
K2CoReSe: relaxed, PBE-GGA.

- Uncorrected energy: -19.492 eV/cell
- SG: P4/mmm
- V: 174 Å³ per cell
- Uncorrected formation energy: 1.15 eV per atom
- Mass density: 3.840 Mg/m³

a b c (Å): 6.2849 6.2849 4.4040
angles (deg): 90.00 90.00 90.00
Last column: nearest neighbours and their distance in Å.
Element x y z (fractional)
K1 0.0000 0.5000 0.0000  2 Se 3.14
K2 0.5000 0.0000 0.0000  2 Se 3.14
Co1 0.0000 0.0000 0.5000  2 Se 2.20
Re1 0.5000 0.5000 0.5000  8 K 3.84
Se1 0.0000 0.0000 0.0000  2 Co 2.20

No. 5
KTlCo2Re: relaxed, PBE-GGA.

- Uncorrected energy: -22.922 eV/cell
- Energy of formation: 7.2 eV per formula unit
- SG: P4/mmm
- V: 122 Å³ per cell
- Mass density: 7.470 Mg/m³

a b c (Å): 4.5387 4.5387 5.9088
angles (deg): 90.00 90.00 90.00
Last column: nearest neighbours and their distance in Å.
Element x y z (fractional)
K1 0.0000 0.0000 0.0000  2 Re 2.95, 4 Tl 3.21
Tl1 0.5000 0.5000 0.0000  4 K 3.21
Co1 0.0000 0.5000 0.5000  2 Re 2.27
Co2 0.5000 0.0000 0.5000  2 Re 2.27
Re1 0.0000 0.0000 0.5000  4 Co 2.27

No. 6
KZn2CoRe: relaxed, PBE-GGA.

- Uncorrected energy: -14.485 eV/cell
- Energy of formation: 8.7 eV per formula unit
- SG: P4/mmm
- V: 150 Å³ per cell
- Mass density: 4.600 Mg/m³

a b c (Å): 4.9888 4.9888 6.0196
angles (deg): 90.00 90.00 90.00
Last column: nearest neighbours and their distance in Å.
Element x y z (fractional)
K1 0.0000 0.0000 0.0000  2 Re 3.01
Zn1 0.0000 0.5000 0.5000  2 Re 2.49
Zn2 0.5000 0.0000 0.5000  2 Re 2.49
Co1 0.5000 0.5000 0.0000  4 K 3.53, 8 Zn 3.91
Re1 0.0000 0.0000 0.5000  4 Zn 2.49

No. 7
KCo2Rh: relaxed, PBE-GGA.

- Uncorrected energy: -20.299 eV/cell
- Energy of formation: 2.4 eV per formula unit
- SG: P2/m
- Energy above the most stable polymorph in this dataset: 0.030 eV per atom
- V: 75 Å³ per cell
- Mass density: 5.756 Mg/m³

a b c (Å): 2.7046 3.7842 7.3267
angles (deg): 90.00 91.05 90.00
Last column: nearest neighbours and their distance in Å.
Element x y z (fractional)
K1 0.0000 0.0000 0.0000  2 K 2.70
Co1 0.4927 0.5000 0.3466  1 Co 2.25
Co2 0.5073 0.5000 0.6534  1 Co 2.25
Rh1 0.0000 0.0000 0.5000  8 Co 2.58, 2 Rh 2.70

No. 8
KCoRh2: relaxed, PBE-GGA.

- Uncorrected energy: -18.895 eV/cell
- Energy of formation: 4.0 eV per formula unit
- SG: P4/mmm
- Energy above the most stable polymorph in this dataset: 0.530 eV per atom
- V: 67 Å³ per cell
- Mass density: 7.584 Mg/m³

a b c (Å): 4.8619 4.8619 2.8144
angles (deg): 90.00 90.00 90.00
Last column: nearest neighbours and their distance in Å.
Element x y z (fractional)
K1 0.0000 0.0000 0.0000  8 Rh 2.81, 2 K 2.81
Co1 0.5000 0.5000 0.0000  8 Rh 2.81, 2 Co 2.81
Rh1 0.0000 0.5000 0.5000  4 Co 2.81, 4 K 2.81, 2 Rh 2.81
Rh2 0.5000 0.0000 0.5000  4 Co 2.81, 4 K 2.81, 2 Rh 2.81

No. 9
KCoRh2: relaxed, PBE-GGA.

- Uncorrected energy: -19.192 eV/cell
- Energy of formation: 3.7 eV per formula unit
- SG: Pmmm
- Energy above the most stable polymorph in this dataset: 0.456 eV per atom
- V: 67 Å³ per cell
- Mass density: 7.577 Mg/m³

a b c (Å): 2.7414 4.9195 4.9375
angles (deg): 90.00 90.00 90.00
Last column: nearest neighbours and their distance in Å.
Element x y z (fractional)
K1 0.0000 0.0000 0.0000  2 K 2.74, 4 Rh 2.82, 4 Co 2.82
Co1 0.5000 0.0000 0.5000  2 Co 2.74, 4 Rh 2.82, 4 K 2.82
Rh1 0.0000 0.5000 0.5000  6 Rh 2.74-2.82, 4 Co 2.82
Rh2 0.5000 0.5000 0.0000  6 Rh 2.74-2.82, 4 K 2.82

No. 10
KCoRh2: relaxed, PBE-GGA.

- Uncorrected energy: -20.817 eV/cell
- Energy of formation: 2.1 eV per formula unit
- SG: R-3m
- Energy above the most stable polymorph in this dataset: 0.049 eV per atom
- V: 66 Å³ per cell
- Mass density: 7.642 Mg/m³

a b c (Å): 9.7807 9.7807 9.7807
angles (deg): 16.53 16.53 16.53
Last column: nearest neighbours and their distance in Å.
Element x y z (fractional)
K1 0.0000 0.0000 0.0000  6 K 2.81
Co1 0.5000 0.5000 0.5000  6 Rh 2.57, 6 Co 2.81
Rh1 0.2357 0.2357 0.2357  3 Co 2.57, 6 Rh 2.81
Rh2 0.7643 0.7643 0.7643  3 Co 2.57, 6 Rh 2.81

No. 11
KCo2Rh: relaxed, PBE-GGA.

- Uncorrected energy: -20.417 eV/cell
- Energy of formation: 2.2 eV per formula unit
- SG: P4mm
- Energy above the most stable polymorph in this dataset: 0.000 eV per atom
- V: 70 Å³ per cell
- Mass density: 6.160 Mg/m³

a b c (Å): 2.9640 2.9640 7.9735
angles (deg): 90.00 90.00 90.00
Last column: nearest neighbours and their distance in Å.
Element x y z (fractional)
K1 0.0000 0.0000 0.0000  4 K 2.96
Co1 0.0000 0.0000 0.5207  4 Co 2.36, 4 Rh 2.59
Co2 0.5000 0.5000 0.6568  4 Co 2.36, 1 Rh 2.60
Rh1 0.5000 0.5000 0.3302  5 Co 2.59-2.60

No. 12
KCoRh2: relaxed, PBE-GGA.

- Uncorrected energy: -20.266 eV/cell
- Energy of formation: 2.6 eV per formula unit
- SG: Immm
- Energy above the most stable polymorph in this dataset: 0.187 eV per atom
- V: 69 Å³ per cell
- Mass density: 7.324 Mg/m³

a b c (Å): 5.7652 5.7652 5.7652
angles (deg): 152.76 127.73 59.93
Last column: nearest neighbours and their distance in Å.
Element x y z (fractional)
K1 0.0000 0.0000 0.0000  2 K 2.72, 4 Co 2.88
Co1 0.5000 0.5000 0.0000  4 Rh 2.51, 2 Co 2.72
Rh1 0.2886 0.7886 0.5000  2 Co 2.51, 2 Rh 2.72
Rh2 0.7114 0.2114 0.5000  2 Co 2.51, 2 Rh 2.72

No. 13
KCoRh4: relaxed, PBE-GGA.

- Uncorrected energy: -33.442 eV/cell
- Energy of formation: 4.2 eV per formula unit
- SG: F-43m
- V: 103 Å³ per cell
- Mass density: 8.225 Mg/m³

a b c (Å): 5.2598 5.2598 5.2598
angles (deg): 60.00 60.00 60.00
Last column: nearest neighbours and their distance in Å.
Element x y z (fractional)
K1 0.0000 0.0000 0.0000  12 Rh 3.09, 4 Co 3.22
Co1 0.2500 0.2500 0.2500  12 Rh 3.08, 4 K 3.22
Rh1 0.1269 0.6244 0.6244  6 Rh 2.62-2.64
Rh2 0.6244 0.1269 0.6244  6 Rh 2.62-2.64
Rh3 0.6244 0.6244 0.1269  6 Rh 2.62-2.64
Rh4 0.6244 0.6244 0.6244  6 Rh 2.62-2.64

No. 14
KCo2Rh: relaxed, PBE-GGA.

- Uncorrected energy: -19.039 eV/cell
- Energy of formation: 3.6 eV per formula unit
- SG: Immm
- Energy above the most stable polymorph in this dataset: 0.345 eV per atom
- V: 71 Å³ per cell
- Mass density: 6.086 Mg/m³

a b c (Å): 5.8945 5.8945 5.8945
angles (deg): 154.01 127.31 59.67
Last column: nearest neighbours and their distance in Å.
Element x y z (fractional)
K1 0.0000 0.0000 0.0000  2 K 2.65, 4 Rh 2.93
Co1 0.2911 0.7911 0.5000  2 Rh 2.51, 2 Co 2.65
Co2 0.7089 0.2089 0.5000  2 Rh 2.51, 2 Co 2.65
Rh1 0.5000 0.5000 0.0000  4 Co 2.51, 2 Rh 2.65

No. 15
KCo2Rh: relaxed, PBE-GGA.

- Uncorrected energy: -20.215 eV/cell
- Energy of formation: 2.4 eV per formula unit
- SG: C2/m
- Energy above the most stable polymorph in this dataset: 0.051 eV per atom
- V: 79 Å³ per cell
- Mass density: 5.489 Mg/m³

a b c (Å): 4.5757 4.5757 6.5629
angles (deg): 95.10 95.10 35.08
Last column: nearest neighbours and their distance in Å.
Element x y z (fractional)
K1 0.0000 0.0000 0.0000  2 K 2.76
Co1 0.2278 0.2278 0.6346  2 Co 2.30, 2 Rh 2.51
Co2 0.7722 0.7722 0.3654  2 Co 2.30, 2 Rh 2.51
Rh1 0.5000 0.5000 0.5000  6 Co 2.51-2.61, 2 Rh 2.76